1.
Below is a crystal of Ba3Na2Ti3Nb2O15 relaxed with PBEsol, with properties calculated at the SCAN level.

abc: 3.9863 5.6206 14.3746
angles: 101.27 90.00 90.00
Element x y z (fractional)
Ba: 0.0000 0.4010 0.8020
Ba: 0.0000 0.0000 0.0000
Ba: 0.0000 0.5990 0.1980
Na: 0.0000 0.1942 0.3885
Na: 0.0000 0.8058 0.6115
Ti: 0.5000 0.5000 0.0000
Ti: 0.5000 0.1006 0.2012
Ti: 0.5000 0.8994 0.7988
Nb: 0.5000 0.7007 0.4013
Nb: 0.5000 0.2993 0.5987
O: 0.5000 0.2004 0.8999
O: 0.5000 0.7996 0.1001
O: 0.5000 0.6995 0.8999
O: 0.5000 0.3989 0.2993
O: 0.5000 0.0000 0.5000
O: 0.5000 0.3005 0.1001
O: 0.5000 0.9004 0.2993
O: 0.5000 0.6011 0.7007
O: 0.5000 0.5000 0.5000
O: 0.5000 0.0996 0.7007
O: 0.0000 0.5000 0.0000
O: 0.0000 0.1004 0.2008
O: 0.0000 0.6995 0.3989
O: 0.0000 0.3005 0.6011
O: 0.0000 0.8996 0.7992

Summary:
- magnetic moment (μB/f.u.) = 0.000
- crystal system = orthorhombic
- formation energy from raw total energies (eV/atom) = -3.06
- space group = No. 65

2.
Below is a crystal of BaNa2NbTe relaxed with PBEsol, with properties calculated at the SCAN level.

abc: 5.3217 5.7300 5.7300
angles: 90.00 90.00 90.00
Last column: magnetic moment on the atom in μB.
Element x y z (fractional)
Na: 0.0000 0.0000 0.5000  0.01
Na: 0.0000 0.5000 0.0000  0.01
Nb: 0.0000 0.0000 0.0000  2.18
Te: 0.5000 0.0000 0.0000  -0.10
Ba: 0.5000 0.5000 0.5000  -0.08

Summary:
- magnetic moment (μB/f.u.) = 2.595
- crystal system = tetragonal
- formation energy from raw total energies (eV/atom) = 0.16
- space group = No. 123